# 1
The following is a DFT calculation (PBE) of a geometry-optimized Ti2V2Ir structure.

Properties
ΔH_f (0 K) in meV per atom: -100
E above lowest polymorph in eV per formula unit: 1.65

Cell: 6.275 6.275 4.008 Å, 90.00 90.00 90.00°
Sites, in units of the cell vectors:
1 Ti 0.169 0.331 0.000
2 Ti 0.331 0.831 0.000
3 Ti 0.669 0.169 0.000
4 Ti 0.831 0.669 0.000
5 V 0.139 0.639 0.500
6 V 0.361 0.139 0.500
7 V 0.639 0.861 0.500
8 V 0.861 0.361 0.500
9 Ir 0.000 0.000 0.500
10 Ir 0.500 0.500 0.500


# 2
The following is a DFT calculation (PBE) of a geometry-optimized La2Se structure.

Properties
Formation energy from raw total energies in eV/atom: -0.999

Cell: 10.397 10.397 3.862 Å, 90.00 90.00 153.57°
Sites, in units of the cell vectors:
1 La 0.084 0.916 0.750
2 La 0.284 0.716 0.250
3 La 0.716 0.284 0.750
4 La 0.916 0.084 0.250
5 Se 0.413 0.587 0.750
6 Se 0.587 0.413 0.250


# 3
The following is a DFT calculation (PBE) of a geometry-optimized Ca2PuTl3 structure.

Properties
ΔH_f (0 K) in meV per atom: -278

Cell: 3.821 3.821 11.912 Å, 90.00 90.00 90.00°
Sites, in units of the cell vectors:
1 Ca 0.000 0.000 0.165
2 Ca 0.000 0.000 0.835
3 Pu 0.000 0.000 0.500
4 Tl 0.500 0.500 0.000
5 Tl 0.500 0.500 0.333
6 Tl 0.500 0.500 0.667


# 4
The following is a DFT calculation (PBE) of a geometry-optimized BPdS structure.

Properties
Formation energy from raw total energies in eV/atom: -0.178
E above lowest polymorph in eV per formula unit: 0.10

Cell: 3.045 4.376 7.464 Å, 98.91 100.55 92.83°
Sites, in units of the cell vectors:
1 B 0.059 0.124 0.109
2 B 0.941 0.876 0.891
3 Pd 0.142 0.356 0.850
4 Pd 0.858 0.644 0.150
5 S 0.368 0.815 0.730
6 S 0.632 0.185 0.270


# 5
The following is a DFT calculation (PBE) of a geometry-optimized CaNd12Co6 structure.

Properties
ΔH_f (0 K) in meV per atom: -53

Cell: 8.800 8.800 8.800 Å, 109.47 109.47 109.47°
Sites, in units of the cell vectors:
1 Ca 0.000 0.000 0.000
2 Nd 0.117 0.804 0.313
3 Nd 0.196 0.313 0.510
4 Nd 0.196 0.687 0.883
5 Nd 0.313 0.117 0.804
6 Nd 0.313 0.510 0.196
7 Nd 0.490 0.804 0.687
8 Nd 0.510 0.196 0.313
9 Nd 0.687 0.490 0.804
10 Nd 0.687 0.883 0.196
11 Nd 0.804 0.313 0.117
12 Nd 0.804 0.687 0.490
13 Nd 0.883 0.196 0.687
14 Co 0.110 0.610 0.500
15 Co 0.390 0.500 0.890
16 Co 0.500 0.110 0.610
17 Co 0.500 0.890 0.390
18 Co 0.610 0.500 0.110
19 Co 0.890 0.390 0.500


# 6
The following is a DFT calculation (PBE) of a geometry-optimized AcLa4Pm5 structure.

Properties
ΔH_f (0 K) in meV per atom: 25

Cell: 3.762 3.762 25.845 Å, 90.00 90.00 90.00°
Sites, in units of the cell vectors:
1 Ac 0.000 0.000 0.000
2 La 0.000 0.000 0.203
3 La 0.000 0.000 0.401
4 La 0.000 0.000 0.599
5 La 0.000 0.000 0.797
6 Pm 0.500 0.500 0.105
7 Pm 0.500 0.500 0.302
8 Pm 0.500 0.500 0.500
9 Pm 0.500 0.500 0.698
10 Pm 0.500 0.500 0.895


# 7
The following is a DFT calculation (PBE) of a geometry-optimized CaPAu structure.

Properties
ΔH_f (0 K) in meV per atom: -357

Cell: 4.907 4.907 6.062 Å, 90.00 90.00 120.00°
Sites, in units of the cell vectors:
1 Ca 0.333 0.667 0.250
2 Ca 0.667 0.333 0.750
3 P 0.000 0.000 0.000
4 P 0.000 0.000 0.500
5 Au 0.333 0.667 0.750
6 Au 0.667 0.333 0.250


# 8
The following is a DFT calculation (PBE) of a geometry-optimized Y3ScRh4 structure.

Properties
ΔH_f (0 K) in meV per atom: -864

Cell: 3.324 3.324 14.056 Å, 90.00 90.00 90.00°
Sites, in units of the cell vectors:
1 Y 0.000 0.000 0.000
2 Y 0.000 0.000 0.257
3 Y 0.000 0.000 0.743
4 Sc 0.000 0.000 0.500
5 Rh 0.500 0.500 0.129
6 Rh 0.500 0.500 0.388
7 Rh 0.500 0.500 0.612
8 Rh 0.500 0.500 0.871


# 9
The following is a DFT calculation (PBE) of a geometry-optimized Li2NdGeN structure.

Properties
Formation energy from raw total energies in eV/atom: -0.610

Cell: 7.246 7.246 6.970 Å, 90.00 90.00 152.60°
Sites, in units of the cell vectors:
1 Li 0.137 0.863 0.564
2 Li 0.137 0.863 0.936
3 Li 0.863 0.137 0.064
4 Li 0.863 0.137 0.436
5 Nd 0.460 0.540 0.750
6 Nd 0.540 0.460 0.250
7 Ge 0.248 0.752 0.250
8 Ge 0.752 0.248 0.750
9 N 0.000 0.000 0.000
10 N 0.000 0.000 0.500


# 10
The following is a DFT calculation (PBE) of a geometry-optimized SiOsPb4 structure.

Properties
Formation energy from raw total energies in eV/atom: 1.322

Cell: 6.185 6.185 6.185 Å, 60.00 60.00 60.00°
Sites, in units of the cell vectors:
1 Si 0.000 0.000 0.000
2 Os 0.750 0.750 0.750
3 Pb 0.375 0.375 0.375
4 Pb 0.375 0.375 0.874
5 Pb 0.375 0.874 0.375
6 Pb 0.874 0.375 0.375


# 11
The following is a DFT calculation (PBE) of a geometry-optimized Cs2BeMoW structure.

Properties
ΔH_f (0 K) in meV per atom: 2466

Cell: 6.001 6.001 4.878 Å, 90.00 90.00 90.00°
Sites, in units of the cell vectors:
1 Cs 0.000 0.500 0.000
2 Cs 0.500 0.000 0.000
3 Be 0.000 0.000 0.000
4 Mo 0.500 0.500 0.500
5 W 0.000 0.000 0.500


# 12
The following is a DFT calculation (PBE) of a geometry-optimized PmTlCl structure.

Properties
Formation energy from raw total energies in eV/atom: -1.093

Cell: 8.384 8.384 4.833 Å, 90.00 90.00 152.07°
Sites, in units of the cell vectors:
1 Pm 0.131 0.869 0.750
2 Pm 0.869 0.131 0.250
3 Tl 0.442 0.558 0.750
4 Tl 0.558 0.442 0.250
5 Cl 0.243 0.757 0.250
6 Cl 0.757 0.243 0.750


# 13
The following is a DFT calculation (PBE) of a geometry-optimized YReIr4 structure.

Properties
ΔH_f (0 K) in meV per atom: 29

Cell: 5.226 5.226 5.226 Å, 60.00 60.00 60.00°
Sites, in units of the cell vectors:
1 Y 0.000 0.000 0.000
2 Re 0.250 0.250 0.250
3 Ir 0.126 0.625 0.625
4 Ir 0.625 0.126 0.625
5 Ir 0.625 0.625 0.126
6 Ir 0.625 0.625 0.625


# 14
The following is a DFT calculation (PBE) of a geometry-optimized Ac13Sm2 structure.

Properties
ΔH_f (0 K) in meV per atom: 70

Cell: 7.340 9.915 9.926 Å, 66.39 82.17 82.23°
Sites, in units of the cell vectors:
1 Ac 0.000 0.000 0.000
2 Ac 0.097 0.441 0.753
3 Ac 0.200 0.199 0.202
4 Ac 0.288 0.972 0.628
5 Ac 0.297 0.634 0.966
6 Ac 0.402 0.398 0.403
7 Ac 0.494 0.832 0.172
8 Ac 0.506 0.168 0.828
9 Ac 0.598 0.602 0.597
10 Ac 0.703 0.366 0.034
11 Ac 0.712 0.028 0.372
12 Ac 0.800 0.801 0.798
13 Ac 0.903 0.559 0.247
14 Sm 0.101 0.769 0.430
15 Sm 0.899 0.231 0.570


# 15
The following is a DFT calculation (PBE) of a geometry-optimized TiCrSe2N structure.

Properties
Formation energy from raw total energies in eV/atom: 0.275
E above lowest polymorph in eV per formula unit: 1.42

Cell: 4.636 4.636 3.551 Å, 90.00 90.00 90.00°
Sites, in units of the cell vectors:
1 Ti 0.000 0.000 0.000
2 Cr 0.500 0.500 0.000
3 Se 0.000 0.500 0.500
4 Se 0.500 0.000 0.500
5 N 0.500 0.500 0.500


# 16
The following is a DFT calculation (PBE) of a geometry-optimized Li5SbS3I2 structure.

Properties
Formation energy from raw total energies in eV/atom: -1.060

Cell: 10.495 13.600 7.611 Å, 90.00 90.00 90.00°
Sites, in units of the cell vectors:
1 Li 0.063 0.097 0.230
2 Li 0.063 0.097 0.770
3 Li 0.188 0.461 0.000
4 Li 0.198 0.750 0.253
5 Li 0.198 0.750 0.747
6 Li 0.302 0.250 0.247
7 Li 0.302 0.250 0.753
8 Li 0.312 0.961 0.500
9 Li 0.437 0.597 0.270
10 Li 0.437 0.597 0.730
11 Li 0.563 0.403 0.270
12 Li 0.563 0.403 0.730
13 Li 0.688 0.039 0.500
14 Li 0.698 0.750 0.247
15 Li 0.698 0.750 0.753
16 Li 0.802 0.250 0.253
17 Li 0.802 0.250 0.747
18 Li 0.812 0.539 0.000
19 Li 0.937 0.903 0.230
20 Li 0.937 0.903 0.770
21 Sb 0.200 0.491 0.500
22 Sb 0.300 0.991 0.000
23 Sb 0.700 0.009 0.000
24 Sb 0.800 0.509 0.500
25 S 0.170 0.931 0.249
26 S 0.170 0.931 0.751
27 S 0.204 0.158 0.000
28 S 0.296 0.658 0.500
29 S 0.330 0.431 0.251
30 S 0.330 0.431 0.749
31 S 0.670 0.569 0.251
32 S 0.670 0.569 0.749
33 S 0.704 0.342 0.500
34 S 0.796 0.842 0.000
35 S 0.830 0.069 0.249
36 S 0.830 0.069 0.751
37 I 0.056 0.641 0.000
38 I 0.075 0.236 0.500
39 I 0.425 0.736 0.000
40 I 0.444 0.141 0.500
41 I 0.556 0.859 0.500
42 I 0.575 0.264 0.000
43 I 0.925 0.764 0.500
44 I 0.944 0.359 0.000


# 17
The following is a DFT calculation (PBE) of a geometry-optimized H3PdPb structure.

Properties
E above lowest polymorph in eV per formula unit: 0.00

Cell: 3.812 3.812 3.812 Å, 90.00 90.00 90.00°
Sites, in units of the cell vectors:
1 H 0.000 0.000 0.500
2 H 0.000 0.500 0.000
3 H 0.500 0.000 0.000
4 Pd 0.000 0.000 0.000
5 Pb 0.500 0.500 0.500


# 18
The following is a DFT calculation (PBE) of a geometry-optimized Tc2RuPt structure.

Properties
ΔH_f (0 K) in meV per atom: -25
E above lowest polymorph in eV per formula unit: 0.51

Cell: 4.780 4.780 4.737 Å, 99.45 99.45 33.21°
Sites, in units of the cell vectors:
1 Tc 0.247 0.247 0.238
2 Tc 0.753 0.753 0.762
3 Ru 0.500 0.500 0.000
4 Pt 0.000 0.000 0.500


# 19
The following is a DFT calculation (PBE) of a geometry-optimized KAsPb structure.

Properties
ΔH_f (0 K) in meV per atom: -316

Cell: 8.098 4.789 10.082 Å, 90.00 90.00 90.00°
Sites, in units of the cell vectors:
1 K 0.015 0.250 0.179
2 K 0.485 0.750 0.679
3 K 0.515 0.250 0.321
4 K 0.985 0.750 0.821
5 As 0.208 0.750 0.394
6 As 0.292 0.250 0.894
7 As 0.708 0.750 0.106
8 As 0.792 0.250 0.606
9 Pb 0.152 0.250 0.566
10 Pb 0.348 0.750 0.066
11 Pb 0.652 0.250 0.934
12 Pb 0.848 0.750 0.434


# 20
The following is a DFT calculation (PBE) of a geometry-optimized LiRuSeI structure.

Properties
Formation energy from raw total energies in eV/atom: -0.162
E above lowest polymorph in eV per formula unit: 0.85

Cell: 7.043 7.043 3.685 Å, 104.81 104.81 36.18°
Sites, in units of the cell vectors:
1 Li 0.000 0.000 0.000
2 Ru 0.508 0.508 0.508
3 Se 0.624 0.624 0.121
4 I 0.350 0.350 0.853


# 21
The following is a DFT calculation (PBE) of a geometry-optimized Pu2S2Br structure.

Properties
Formation energy from raw total energies in eV/atom: -1.495

Cell: 7.157 7.157 7.471 Å, 117.85 117.85 90.76°
Sites, in units of the cell vectors:
1 Pu 0.077 0.923 0.750
2 Pu 0.326 0.674 0.250
3 Pu 0.674 0.326 0.750
4 Pu 0.923 0.077 0.250
5 S 0.037 0.286 0.071
6 S 0.286 0.037 0.571
7 S 0.714 0.963 0.429
8 S 0.963 0.714 0.929
9 Br 0.375 0.625 0.750
10 Br 0.625 0.375 0.250


# 22
The following is a DFT calculation (PBE) of a geometry-optimized Ba4BeRu structure.

Properties
ΔH_f (0 K) in meV per atom: 1350

Cell: 6.887 6.887 6.887 Å, 60.00 60.00 60.00°
Sites, in units of the cell vectors:
1 Ba 0.125 0.125 0.125
2 Ba 0.125 0.125 0.624
3 Ba 0.125 0.624 0.125
4 Ba 0.624 0.125 0.125
5 Be 0.750 0.750 0.750
6 Ru 0.500 0.500 0.500


# 23
The following is a DFT calculation (PBE) of a geometry-optimized LaAsPS2 structure.

Properties
Formation energy from raw total energies in eV/atom: -0.552
E above lowest polymorph in eV per formula unit: 0.27

Cell: 4.830 4.830 4.741 Å, 90.00 90.00 90.00°
Sites, in units of the cell vectors:
1 La 0.000 0.000 0.000
2 As 0.500 0.500 0.500
3 P 0.500 0.500 0.000
4 S 0.000 0.500 0.500
5 S 0.500 0.000 0.500


| no. | N(E_F) (states/eV per cell) | E (eV/atom) |
| --- | --- | --- |
| 1 | 11.35 | -8.68 |
| 2 | 4.96 | -5.45 |
| 3 | 11.60 | -4.52 |
| 4 | 0.89 | -5.51 |
| 5 | 17.42 | -5.41 |
| 6 | 18.80 | -4.73 |
| 7 | 1.70 | -3.92 |
| 8 | 3.43 | -7.75 |
| 9 | 0.88 | -4.92 |
| 10 | 4.73 | -3.93 |
| 11 | 3.99 | -3.38 |
| 12 | 2.69 | -4.08 |
| 13 | 8.54 | -9.03 |
| 14 | 23.19 | -4.12 |
| 15 | 5.82 | -6.29 |
| 16 | 0.00 | -3.71 |
| 17 | 0.59 | -3.68 |
| 18 | 4.49 | -9.04 |
| 19 | 0.45 | -3.47 |
| 20 | 4.04 | -4.22 |
| 21 | 36.49 | -9.21 |
| 22 | 9.79 | -2.10 |
| 23 | 3.08 | -5.20 |